Density functional theory data (PBE+U) for a relaxed structure of Pm2NiO.

## Properties
**SG**: R-3m (166)
**DFT total energy**: -19.32 eV for the cell shown

```
Pm2NiO
1.0
1.741 1.005 7.863
-1.741 1.005 7.863
0.000 -2.010 7.863
Pm Ni O
2 1 1
direct
0.106 0.106 0.106
0.894 0.894 0.894
0.000 0.000 0.000
0.500 0.500 0.500
```